A relaxed TaRe2P crystal. Source: Alexandria, functional PBE-GGA.

```
data_TaRe2P
_cell_length_a 3.061
_cell_length_b 4.407
_cell_length_c 8.773
_cell_angle_alpha 90.00
_cell_angle_beta 90.00
_cell_angle_gamma 90.00
_symmetry_space_group_name_H-M 'I m m 2'
_symmetry_Int_Tables_number 44
loop_
_symmetry_equiv_pos_as_xyz
'x,y,z'
'-x,-y,z'
'-x,y,z'
'x,-y,z'
'x+1/2,y+1/2,z+1/2'
'-x+1/2,-y+1/2,z+1/2'
'-x+1/2,y+1/2,z+1/2'
'x+1/2,-y+1/2,z+1/2'
loop_
_atom_site_label
_atom_site_type_symbol
_atom_site_fract_x
_atom_site_fract_y
_atom_site_fract_z
_atom_site_occupancy
Ta1 Ta 0.000 0.000 0.000 1
Re1 Re 0.000 0.000 0.541 1
Re2 Re 0.000 0.500 0.775 1
P1 P 0.000 0.500 0.262 1
```

***

A relaxed TaReP2 crystal. Source: Alexandria, functional PBE-GGA.

```
data_TaReP2
_cell_length_a 2.9886
_cell_length_b 2.9886
_cell_length_c 22.8604
_cell_angle_alpha 90.00
_cell_angle_beta 90.00
_cell_angle_gamma 120.00
_symmetry_space_group_name_H-M 'R -3 m'
_symmetry_Int_Tables_number 166
_symmetry_space_group_name_Hall '-R 3 2"'
loop_
_atom_site_label
_atom_site_type_symbol
_atom_site_fract_x
_atom_site_fract_y
_atom_site_fract_z
_atom_site_occupancy
Ta1 Ta 0.0000 0.0000 0.0000 1
Re1 Re 0.0000 0.0000 0.5000 1
P1 P 0.0000 0.0000 0.2441 1
```

***

A relaxed Ta2ReP crystal. Source: Alexandria, functional PBE-GGA.

```
data_Ta2ReP
_cell_length_a 3.2293
_cell_length_b 3.2293
_cell_length_c 22.1894
_cell_angle_alpha 90.00
_cell_angle_beta 90.00
_cell_angle_gamma 120.00
_symmetry_space_group_name_H-M 'R -3 m'
_symmetry_Int_Tables_number 166
_symmetry_space_group_name_Hall '-R 3 2"'
loop_
_atom_site_label
_atom_site_type_symbol
_atom_site_fract_x
_atom_site_fract_y
_atom_site_fract_z
_atom_site_occupancy
Ta1 Ta 0.0000 0.0000 0.2428 1
Re1 Re 0.0000 0.0000 0.0000 1
P1 P 0.0000 0.0000 0.5000 1
```

***

| no. | energy relative to the elements (eV per atom) | Fermi-level density of states (states/eV per atom) |
| --- | --- | --- |
| 1 | -0.066 | 0.779 |
| 2 | -0.045 | 0.530 |
| 3 | -0.124 | 0.723 |